[1]
This record from Alexandria via LeMat-Bulk describes a relaxed structure of K2MnPb. The functional is PBE.

The value obtained for the density of states at the Fermi level is 4.12 states/eV/f.u. Its spin magnetization is 4.71 μB per formula unit. The calculation puts the energy of formation from the pure elements at 0.61 eV per atom.

The structure belongs to space group R-3m (No. 166, hexagonal axes); the cell edges are 3.5956, 3.5956 and 37.0560 Å and the angles 90.00°, 90.00° and 120.00°. Symmetry generates all atoms from K at (0.0000, 0.0000, 0.2493), Mn at (0.0000, 0.0000, 0.5000) and Pb at (0.0000, 0.0000, 0.0000).



[2]
This record from Alexandria via LeMat-Bulk describes a relaxed structure of BaIn2Ga4Ag. The functional is PBE.

The value obtained for the density of states at the Fermi level is 1.67 states/eV/f.u. Its spin magnetization is 0.00 μB per formula unit. The calculation puts the energy of formation from the pure elements at -0.16 eV per atom.

The structure belongs to space group R-3m (No. 166, hexagonal axes); the cell edges are 4.8996, 4.8996 and 28.2678 Å and the angles 90.00°, 90.00° and 120.00°. Symmetry generates all atoms from Ba at (0.0000, 0.0000, 0.0000), In at (0.0000, 0.0000, 0.2427), Ga at (0.0000, 0.0000, 0.1362), Ga at (0.0000, 0.0000, 0.4037) and Ag at (0.0000, 0.0000, 0.5000).